[1]
A relaxed structure of Cs2Cu2GeO6, computed with PBE.

Computed properties:
Energy relative to the elements, uncorrected: -0.969 eV per atom
Volume: 17.0 A^3/atom
Total energy: -4.993 eV/atom

Structure (extended XYZ):
```
11
Lattice="2.8595 1.6509 6.6024 -2.8595 1.6509 6.6024 0.0000 -3.3019 6.6024" Properties=species:S:1:pos:R:3 pbc="T T T"
Cs 0.0000 0.0000 4.1765
Cs 0.0000 0.0000 15.6308
Cu 0.0000 0.0000 7.6343
Cu 0.0000 0.0000 12.1730
Ge 0.0000 0.0000 0.0000
O 0.0000 -1.8008 7.8060
O -1.5596 0.9004 7.8060
O -1.5595 -0.9004 12.0013
O 1.5595 0.9004 7.8060
O 1.5596 -0.9004 12.0013
O 0.0000 1.8008 12.0013
```



[2]
A relaxed structure of CsCuGePd2, computed with PBE.

Computed properties:
Volume: 23.8 A^3/atom
Energy of formation from the pure elements: 187 meV/atom
Total energy: -3.803 eV/atom

Structure (extended XYZ):
```
5
Lattice="4.9351 0.0000 0.0000 0.0000 4.9351 0.0000 0.0000 0.0000 4.8874" Properties=species:S:1:pos:R:3 pbc="T T T"
Cs 0.0000 0.0000 0.0000
Cu 2.4676 2.4676 0.0000
Ge 2.4676 2.4676 2.4437
Pd 0.0000 2.4676 2.4437
Pd 2.4676 0.0000 2.4437
```